A relaxed LaPrTlIn crystal, computed with PBE-GGA.

Computed properties:
Total magnetization (μB per atom): 0.000
Relative energy among the computed polymorphs (meV per atom): 6
D(E_F) (states/eV/f.u.): 2.72

a b c (Å): 5.5825 5.5825 5.5825
angles (deg): 60.00 60.00 60.00
Closest atoms and distances in Å follow each position.
Atoms (fractional coordinates):
La 0.0000 0.0000 0.0000  4 Tl 3.42, 4 In 3.42
Pr 0.5000 0.5000 0.5000  4 Tl 3.42, 4 In 3.42
Tl 0.2500 0.2500 0.2500  4 La 3.42, 4 Pr 3.42
In 0.7500 0.7500 0.7500  4 La 3.42, 4 Pr 3.42



A relaxed LaPrTlIn crystal, computed with PBE-GGA.

Computed properties:
Total magnetization (μB per atom): 0.000
Relative energy among the computed polymorphs (meV per atom): 0
D(E_F) (states/eV/f.u.): 3.18

a b c (Å): 3.9340 3.9340 7.9308
angles (deg): 90.00 90.00 90.00
Closest atoms and distances in Å follow each position.
Atoms (fractional coordinates):
La 0.0000 0.0000 0.0000  4 In 3.43, 4 Tl 3.46
Pr 0.0000 0.0000 0.5058  4 In 3.38, 4 Tl 3.40
Tl 0.5000 0.5000 0.2590  4 Pr 3.40, 4 La 3.46
In 0.5000 0.5000 0.7474  4 Pr 3.38, 4 La 3.43



- Among the records above, which one has the highest D(E_F)?
  number 2



- D(E_F) of number 1 (LaPrTlIn)?
  2.72 states/eV/f.u.